Record 1
Computed, not measured: crystalline Sc3CuTc at its relaxed geometry at the PBE level of DFT.

Results
**Excess energy over the best structure of this formula in the dataset**: 0.000 eV/atom
**Symmetry**: No. 63
**Magnetic moment**: 0.00 μB per atom
**Density of states at the Fermi level**: 8.18 states/eV per cell
**Formation enthalpy at 0 K**: -218.7 meV per atom

abc: 4.603 4.607 9.227
angles: 90.00 75.56 90.00
Fractional coordinates of all 10 atoms:
Sc 0.456 0.844 0.806
Cu 0.046 0.844 0.627
Sc 0.955 0.344 0.809
Tc 0.860 0.845 0.998
Sc 0.279 0.844 0.160
Cu 0.365 0.344 0.988
Sc 0.635 0.845 0.449
Sc 0.776 0.345 0.166
Sc 0.132 0.344 0.454
Tc 0.551 0.344 0.617

---

Record 2
Computed, not measured: crystalline Rb2BaCrC at its relaxed geometry at the PBE level of DFT.

Results
**Symmetry**: No. 123
**Magnetic moment**: 0.22 μB per atom
**Density of states at the Fermi level**: 2.76 states/eV per cell
**Formation enthalpy at 0 K**: 2034.1 meV per atom

abc: 7.443 4.631 7.443
angles: 90.00 90.00 90.00
Fractional coordinates of all 5 atoms:
Rb 0.500 0.000 0.000
Ba 0.000 0.000 0.000
C 0.000 0.500 0.000
Cr 0.500 0.500 0.500
Rb 0.000 0.000 0.500